Entry 1:
FePb2Cl | PBE | optimized geometry

abc: 5.202 5.202 5.202
angles: 60.00 60.00 60.00
Positions (direct):
Pb 0.000 0.000 0.000
Pb 0.750 0.750 0.750
Fe 0.250 0.250 0.250
Cl 0.500 0.500 0.500

The spin magnetization comes out at 3.495 μB/f.u. As for the calculated total energy: -3.98 eV per atom. The density of states at the Fermi level comes out at 1.821 states/eV per atom. The formation energy without anion corrections is 0.45 eV per atom. As for the relative energy among the computed polymorphs: 479 meV per atom. The crystal system is cubic. The space group is F-43m, No. 216.



Entry 2:
Fe3PbCl | PBE | optimized geometry

abc: 5.125 5.125 5.125
angles: 90.00 90.00 90.00
Positions (direct):
Pb 0.000 0.000 0.000
Fe 0.000 0.500 0.000
Fe 0.000 0.000 0.500
Fe 0.500 0.000 0.000
Cl 0.500 0.500 0.500

The spin magnetization comes out at 10.835 μB/f.u. As for the calculated total energy: -4.73 eV per atom. The density of states at the Fermi level comes out at 3.130 states/eV per atom. The formation energy without anion corrections is 1.46 eV per atom. As for the relative energy among the computed polymorphs: 681 meV per atom. The crystal system is cubic. The space group is Pm-3m, No. 221.



Entry 3:
FePb2Cl | PBE | optimized geometry

abc: 3.495 3.495 9.997
angles: 90.00 90.00 121.93
Positions (direct):
Pb 0.000 0.000 0.954
Pb 0.500 0.500 0.248
Fe 0.500 0.500 0.729
Cl 0.000 0.000 0.569

The spin magnetization comes out at 3.302 μB/f.u. As for the calculated total energy: -4.37 eV per atom. The density of states at the Fermi level comes out at 0.533 states/eV per atom. The formation energy without anion corrections is 0.06 eV per atom. As for the relative energy among the computed polymorphs: 92 meV per atom. The crystal system is orthorhombic. The space group is Cmm2, No. 35.



Entry 4:
FePb2Cl | PBE | optimized geometry

abc: 7.678 7.678 7.678
angles: 155.93 146.82 41.41
Positions (direct):
Pb 0.930 0.930 0.000
Pb 0.570 0.570 0.000
Fe 0.750 0.250 0.500
Cl 0.250 0.750 0.500

The spin magnetization comes out at 3.155 μB/f.u. As for the calculated total energy: -4.22 eV per atom. The density of states at the Fermi level comes out at 0.988 states/eV per atom. The formation energy without anion corrections is 0.21 eV per atom. As for the relative energy among the computed polymorphs: 241 meV per atom. The crystal system is orthorhombic. The space group is Immm, No. 71.



Entry 5:
FePb2Cl | PBE | optimized geometry

abc: 6.394 6.394 7.713
angles: 65.51 65.51 90.00
Positions (direct):
Pb 0.702 0.125 0.250
Pb 0.048 0.625 0.250
Pb 0.375 0.298 0.750
Pb 0.875 0.952 0.750
Fe 0.000 0.000 0.000
Fe 0.750 0.250 0.500
Cl 0.500 0.500 0.000
Cl 0.250 0.750 0.500

The spin magnetization comes out at 0.000 μB/f.u. As for the calculated total energy: -4.01 eV per atom. The density of states at the Fermi level comes out at 1.509 states/eV per atom. The formation energy without anion corrections is 0.42 eV per atom. As for the relative energy among the computed polymorphs: 455 meV per atom. The crystal system is tetragonal. The space group is I-42d, No. 122.



Entry 6:
FePb2Cl | PBE | optimized geometry

abc: 7.008 7.008 7.008
angles: 146.07 146.07 48.74
Positions (direct):
Pb 0.000 0.000 0.000
Pb 0.250 0.750 0.500
Fe 0.750 0.250 0.500
Cl 0.500 0.500 0.000

The spin magnetization comes out at 3.010 μB/f.u. As for the calculated total energy: -4.10 eV per atom. The density of states at the Fermi level comes out at 0.480 states/eV per atom. The formation energy without anion corrections is 0.33 eV per atom. As for the relative energy among the computed polymorphs: 359 meV per atom. The crystal system is tetragonal. The space group is I-4m2, No. 119.



Entry 7:
FePbCl2 | PBE | optimized geometry

abc: 3.305 3.305 8.937
angles: 90.00 90.00 90.00
Positions (direct):
Pb 0.500 0.500 0.769
Fe 0.000 0.000 0.287
Cl 0.000 0.000 0.042
Cl 0.500 0.500 0.403

The spin magnetization comes out at 3.424 μB/f.u. As for the calculated total energy: -4.21 eV per atom. The density of states at the Fermi level comes out at 0.839 states/eV per atom. The formation energy without anion corrections is -0.24 eV per atom. As for the relative energy among the computed polymorphs: 197 meV per atom. The crystal system is tetragonal. The space group is P4mm, No. 99.



Entry 8:
FePbCl2 | PBE | optimized geometry

abc: 5.336 5.336 3.341
angles: 90.00 90.00 102.96
Positions (direct):
Pb 0.000 0.500 0.500
Fe 0.500 0.000 0.500
Cl 0.000 0.000 0.000
Cl 0.500 0.500 0.000

The spin magnetization comes out at 3.572 μB/f.u. As for the calculated total energy: -3.82 eV per atom. The density of states at the Fermi level comes out at 0.767 states/eV per atom. The formation energy without anion corrections is 0.15 eV per atom. As for the relative energy among the computed polymorphs: 585 meV per atom. The crystal system is orthorhombic. The space group is Cmmm, No. 65.



Entry 9:
FePbCl2 | PBE | optimized geometry

abc: 3.550 3.550 9.208
angles: 90.00 90.00 123.46
Positions (direct):
Pb 0.500 0.500 0.750
Fe 0.500 0.500 0.250
Cl 0.000 0.000 0.066
Cl 0.000 0.000 0.434

The spin magnetization comes out at 3.426 μB/f.u. As for the calculated total energy: -4.26 eV per atom. The density of states at the Fermi level comes out at 0.808 states/eV per atom. The formation energy without anion corrections is -0.29 eV per atom. As for the relative energy among the computed polymorphs: 146 meV per atom. The crystal system is orthorhombic. The space group is Cmmm, No. 65.



Entry 10:
FePbCl2 | PBE | optimized geometry

abc: 6.633 6.633 6.927
angles: 61.40 61.40 90.00
Positions (direct):
Pb 0.000 0.000 0.000
Pb 0.750 0.250 0.500
Fe 0.500 0.500 0.000
Fe 0.250 0.750 0.500
Cl 0.518 0.125 0.250
Cl 0.232 0.625 0.250
Cl 0.375 0.482 0.750
Cl 0.875 0.768 0.750

The spin magnetization comes out at 3.012 μB/f.u. As for the calculated total energy: -4.08 eV per atom. The density of states at the Fermi level comes out at 1.071 states/eV per atom. The formation energy without anion corrections is -0.11 eV per atom. As for the relative energy among the computed polymorphs: 330 meV per atom. The crystal system is tetragonal. The space group is I-42d, No. 122.



Entry 11:
FePbCl2 | PBE | optimized geometry

abc: 10.075 10.075 10.075
angles: 19.61 19.61 19.61
Positions (direct):
Pb 0.750 0.750 0.750
Fe 0.250 0.250 0.250
Cl 0.966 0.966 0.966
Cl 0.534 0.534 0.534

The spin magnetization comes out at 3.783 μB/f.u. As for the calculated total energy: -4.41 eV per atom. The density of states at the Fermi level comes out at 0.423 states/eV per atom. The formation energy without anion corrections is -0.44 eV per atom. As for the relative energy among the computed polymorphs: 0 meV per atom. The crystal system is trigonal. The space group is R-3m, No. 166.



Entry 12:
FePbCl2 | PBE | optimized geometry

abc: 6.402 6.402 6.402
angles: 142.68 142.68 53.80
Positions (direct):
Pb 0.750 0.250 0.500
Fe 0.500 0.500 0.000
Cl 0.000 0.000 0.000
Cl 0.250 0.750 0.500

The spin magnetization comes out at 3.101 μB/f.u. As for the calculated total energy: -3.82 eV per atom. The density of states at the Fermi level comes out at 1.179 states/eV per atom. The formation energy without anion corrections is 0.15 eV per atom. As for the relative energy among the computed polymorphs: 586 meV per atom. The crystal system is tetragonal. The space group is I-4m2, No. 119.



Entry 13:
FePbS2Cl | PBE | optimized geometry

abc: 4.951 4.951 5.133
angles: 90.00 90.00 90.00
Positions (direct):
Pb 0.000 0.000 0.000
S 0.000 0.500 0.000
S 0.500 0.000 0.000
Fe 0.500 0.500 0.500
Cl 0.000 0.000 0.500

The spin magnetization comes out at 3.821 μB/f.u. As for the calculated total energy: -3.69 eV per atom. The density of states at the Fermi level comes out at 1.681 states/eV per atom. The formation energy without anion corrections is 0.77 eV per atom. As for the relative energy among the computed polymorphs: 1045 meV per atom. The crystal system is tetragonal. The space group is P4/mmm, No. 123.



Entry 14:
FePbS2Cl | PBE | optimized geometry

abc: 4.631 4.631 4.858
angles: 90.00 90.00 90.00
Positions (direct):
Pb 0.500 0.500 0.500
S 0.000 0.500 0.000
S 0.500 0.000 0.000
Fe 0.000 0.000 0.000
Cl 0.000 0.000 0.500

The spin magnetization comes out at 3.549 μB/f.u. As for the calculated total energy: -4.73 eV per atom. The density of states at the Fermi level comes out at 0.877 states/eV per atom. The formation energy without anion corrections is -0.28 eV per atom. As for the relative energy among the computed polymorphs: 0 meV per atom. The crystal system is tetragonal. The space group is P4/mmm, No. 123.



Entry 15:
FeSb2PbCl | PBE | optimized geometry

abc: 5.311 5.413 5.311
angles: 90.00 90.00 90.00
Positions (direct):
Pb 0.000 0.500 0.000
Sb 0.000 0.000 0.500
Sb 0.500 0.000 0.000
Fe 0.500 0.500 0.500
Cl 0.000 0.000 0.000

The spin magnetization comes out at 3.253 μB/f.u. As for the calculated total energy: -3.40 eV per atom. The density of states at the Fermi level comes out at 1.110 states/eV per atom. The formation energy without anion corrections is 1.06 eV per atom. The crystal system is tetragonal. The space group is P4/mmm, No. 123.



Entry 16:
FeSn2PbCl | PBE | optimized geometry

abc: 4.934 4.934 5.213
angles: 90.00 90.00 90.00
Positions (direct):
Pb 0.000 0.000 0.500
Cl 0.500 0.500 0.500
Sn 0.000 0.500 0.000
Sn 0.500 0.000 0.000
Fe 0.000 0.000 0.000

The spin magnetization comes out at 1.019 μB/f.u. As for the calculated total energy: -4.55 eV per atom. The density of states at the Fermi level comes out at 0.391 states/eV per atom. The formation energy without anion corrections is -0.14 eV per atom. The crystal system is tetragonal. The space group is P4/mmm, No. 123.



Entry 17:
TlFePb2Cl8 | PBE | optimized geometry

abc: 6.530 6.255 8.659
angles: 89.66 90.02 88.15
Positions (direct):
Tl 0.000 0.000 0.500
Fe 0.000 0.000 0.000
Pb 0.500 0.498 0.765
Pb 0.500 0.502 0.235
Cl 0.137 0.781 0.190
Cl 0.709 0.796 0.999
Cl 0.860 0.217 0.188
Cl 0.863 0.219 0.810
Cl 0.291 0.204 0.001
Cl 0.140 0.783 0.812
Cl 0.618 0.731 0.499
Cl 0.382 0.269 0.501

The spin magnetization comes out at 0.958 μB/f.u. As for the calculated total energy: -3.62 eV per atom. The density of states at the Fermi level comes out at 0.692 states/eV per atom. The formation energy without anion corrections is -0.87 eV per atom. The crystal system is triclinic. The space group is P-1, No. 2.



Entry 18:
Tl2FePbCl6 | PBE | optimized geometry

abc: 7.287 7.526 10.485
angles: 90.00 90.17 90.00
Positions (direct):
Tl 0.017 0.938 0.248
Tl 0.517 0.562 0.748
Tl 0.983 0.062 0.752
Tl 0.483 0.438 0.252
Fe 0.500 0.000 0.500
Fe 0.000 0.500 0.000
Pb 0.500 0.000 0.000
Pb 0.000 0.500 0.500
Cl 0.278 0.684 0.041
Cl 0.778 0.816 0.541
Cl 0.722 0.316 0.959
Cl 0.222 0.184 0.459
Cl 0.320 0.724 0.457
Cl 0.820 0.776 0.957
Cl 0.680 0.276 0.543
Cl 0.180 0.224 0.043
Cl 0.917 0.516 0.230
Cl 0.417 0.984 0.730
Cl 0.083 0.484 0.770
Cl 0.583 0.016 0.270

The spin magnetization comes out at 4.000 μB/f.u. As for the calculated total energy: -3.74 eV per atom. The density of states at the Fermi level comes out at 0.647 states/eV per atom. The formation energy without anion corrections is -0.95 eV per atom. The crystal system is monoclinic. The space group is P2_1/c, No. 14.



Entry 19:
TlFePbCl5 | PBE | optimized geometry

abc: 7.709 7.709 10.192
angles: 103.85 103.85 106.92
Positions (direct):
Tl 0.348 0.652 0.250
Tl 0.652 0.348 0.750
Fe 0.683 0.317 0.250
Fe 0.317 0.683 0.750
Pb 0.000 0.000 0.500
Pb 0.000 0.000 0.000
Cl 0.100 0.900 0.250
Cl 0.900 0.100 0.750
Cl 0.912 0.332 0.139
Cl 0.088 0.668 0.861
Cl 0.668 0.088 0.361
Cl 0.332 0.912 0.639
Cl 0.739 0.596 0.428
Cl 0.261 0.404 0.572
Cl 0.404 0.261 0.072
Cl 0.596 0.739 0.928

The spin magnetization comes out at 4.000 μB/f.u. As for the calculated total energy: -3.92 eV per atom. The density of states at the Fermi level comes out at 0.827 states/eV per atom. The formation energy without anion corrections is -0.95 eV per atom. The crystal system is monoclinic. The space group is C2/c, No. 15.



Entry 20:
ZrFePb2Cl | PBE | optimized geometry

abc: 5.777 4.866 5.777
angles: 90.00 90.00 90.00
Positions (direct):
Pb 0.000 0.000 0.500
Pb 0.500 0.000 0.000
Fe 0.500 0.500 0.500
Zr 0.000 0.000 0.000
Cl 0.000 0.500 0.000

The spin magnetization comes out at 3.482 μB/f.u. As for the calculated total energy: -4.65 eV per atom. The density of states at the Fermi level comes out at 2.252 states/eV per atom. The formation energy without anion corrections is 0.60 eV per atom. The crystal system is tetragonal. The space group is P4/mmm, No. 123.